Density functional theory data (PBE) for crystalline Tl7InPb2 at its relaxed geometry.

Computed properties:
- size of the total moment (μB/f.u.) = 0.00
- offset from the most stable computed form (kJ/mol of atoms) = 0.0
- volume (Å³/atom) = 31.382
- total energy (eV per atom) = -2.612
- energy of formation (eV/f.u.) = 0.60

a = 14.6820 Å, b = 14.6820 Å, c = 3.3762 Å
α = 90.00°, β = 90.00°, γ = 154.46°
Last column: nearest neighbours and their distance in Å.
Positions (direct):
Tl 0.0000 0.0000 0.0000  6 Tl 3.29-3.38, 4 In 3.66
Tl 0.1551 0.3535 0.0000  5 Tl 3.19-3.38, 1 Pb 3.40
Tl 0.3059 0.6941 0.5000  6 Tl 3.38-3.57, 6 Pb 3.39-3.67
Tl 0.3535 0.1551 0.0000  5 Tl 3.19-3.38, 1 Pb 3.40
Tl 0.6465 0.8449 0.0000  5 Tl 3.19-3.38, 1 Pb 3.40
Tl 0.6941 0.3059 0.5000  6 Tl 3.38-3.57, 6 Pb 3.39-3.67
Tl 0.8449 0.6465 0.0000  5 Tl 3.19-3.38, 1 Pb 3.40
In 0.5000 0.5000 0.5000  2 In 3.38, 12 Tl 3.66-3.67
Pb 0.2031 0.7969 0.0000  2 Pb 3.38, 8 Tl 3.39-3.67
Pb 0.7969 0.2031 0.0000  2 Pb 3.38, 8 Tl 3.39-3.67